(1)
Below is Ag2RuW at its PBEsol-relaxed geometry, with properties calculated at the meta-GGA SCAN level.

abc: 6.2559 6.2559 6.2559
angles: 90.00 90.00 90.00
Space group Fm-3m (No. 225)
Symmetry-distinct sites (fractional):
Ag  0.2500  0.2500  0.2500 x8
Ru  0.0000  0.0000  0.0000 x4
W  0.0000  0.0000  0.5000 x4

Electronic total energy (eV/atom): -40.72
E above lowest polymorph (meV per atom): 526

---

(2)
Below is AgRuW2 at its PBEsol-relaxed geometry, with properties calculated at the meta-GGA SCAN level.

abc: 3.8688 3.8688 4.0096
angles: 90.00 90.00 90.00
Space group P4/mmm (No. 123)
Symmetry-distinct sites (fractional):
Ag  0.0000  0.0000  0.0000 x1
Ru  0.5000  0.5000  0.0000 x1
W  0.0000  0.5000  0.5000 x2

Electronic total energy (eV/atom): -50.94
E above lowest polymorph (meV per atom): 33

---

(3)
Below is AgRu2W at its PBEsol-relaxed geometry, with properties calculated at the meta-GGA SCAN level.

abc: 2.7539 2.7539 27.0434
angles: 90.00 90.00 120.00
Space group R-3m (No. 166, hexagonal axes)
Symmetry-distinct sites (fractional):
Ag  0.0000  0.0000  0.0000 x3
Ru  0.0000  0.0000  0.2453 x6
W  0.0000  0.0000  0.5000 x3

Electronic total energy (eV/atom): -42.43
E above lowest polymorph (meV per atom): 0

---

(4)
Below is AgRuW2 at its PBEsol-relaxed geometry, with properties calculated at the meta-GGA SCAN level.

abc: 6.2631 6.2631 6.2631
angles: 90.00 90.00 90.00
Space group Fm-3m (No. 225)
Symmetry-distinct sites (fractional):
Ag  0.0000  0.0000  0.0000 x4
Ru  0.0000  0.0000  0.5000 x4
W  0.2500  0.2500  0.2500 x8

Electronic total energy (eV/atom): -50.49
E above lowest polymorph (meV per atom): 483